--- a ---
YIn3O after structural relaxation. Source: Alexandria via LeMat-Bulk, functional PBE-GGA.

```
data_YIn3O
_chemical_formula_sum 'Y1 In3 O1'
_space_group_name_H-M_alt 'P 1'
_space_group_IT_number 1
_cell_length_a 4.840
_cell_length_b 4.840
_cell_length_c 4.840
_cell_angle_alpha 90.00
_cell_angle_beta 90.00
_cell_angle_gamma 90.00
loop_
_space_group_symop_operation_xyz
'x,y,z'
loop_
_atom_site_label
_atom_site_fract_x
_atom_site_fract_y
_atom_site_fract_z
In1 0.000 0.500 0.000
In2 0.500 0.000 0.000
In3 0.000 0.000 0.500
Y1 0.500 0.500 0.500
O1 0.000 0.000 0.000
```

Values from the calculation:
volume	22.67	A^3/atom
space-group type	Pm-3m

***

--- b ---
YIn3O after structural relaxation. Source: Alexandria via LeMat-Bulk, functional PBE-GGA.

```
data_YIn3O
_chemical_formula_sum 'Y1 In3 O1'
_space_group_name_H-M_alt 'P 1'
_space_group_IT_number 1
_cell_length_a 5.961
_cell_length_b 5.961
_cell_length_c 5.961
_cell_angle_alpha 90.00
_cell_angle_beta 90.00
_cell_angle_gamma 90.00
loop_
_space_group_symop_operation_xyz
'x,y,z'
loop_
_atom_site_label
_atom_site_fract_x
_atom_site_fract_y
_atom_site_fract_z
O1 0.500 0.500 0.500
In1 0.000 0.000 0.500
In2 0.500 0.000 0.000
In3 0.000 0.500 0.000
Y1 0.000 0.000 0.000
```

Values from the calculation:
volume	42.37	A^3/atom
space-group type	Pm-3m

***

The least stable of them is b.

***

--- a ---
Y2InO after structural relaxation. Source: Alexandria via LeMat-Bulk, functional PBE-GGA.

```
data_Y2InO
_chemical_formula_sum 'Y2 In1 O1'
_space_group_name_H-M_alt 'P 1'
_space_group_IT_number 1
_cell_length_a 5.041
_cell_length_b 5.041
_cell_length_c 5.041
_cell_angle_alpha 60.00
_cell_angle_beta 60.00
_cell_angle_gamma 60.00
loop_
_space_group_symop_operation_xyz
'x,y,z'
loop_
_atom_site_label
_atom_site_fract_x
_atom_site_fract_y
_atom_site_fract_z
O1 0.000 0.000 0.000
Y1 0.250 0.250 0.250
Y2 0.750 0.750 0.750
In1 0.500 0.500 0.500
```

Values from the calculation:
volume	22.65	A^3/atom
space-group type	Fm-3m

***

--- b ---
Y2InO after structural relaxation. Source: Alexandria via LeMat-Bulk, functional PBE-GGA.

```
data_Y2InO
_chemical_formula_sum 'Y4 In2 O2'
_space_group_name_H-M_alt 'P 1'
_space_group_IT_number 1
_cell_length_a 6.971
_cell_length_b 6.971
_cell_length_c 6.341
_cell_angle_alpha 56.66
_cell_angle_beta 56.66
_cell_angle_gamma 90.00
loop_
_space_group_symop_operation_xyz
'x,y,z'
loop_
_atom_site_label
_atom_site_fract_x
_atom_site_fract_y
_atom_site_fract_z
O1 0.250 0.750 0.500
O2 0.500 0.500 0.000
In1 0.750 0.250 0.500
In2 0.000 0.000 0.000
Y1 0.515 0.125 0.250
Y2 0.875 0.765 0.750
Y3 0.235 0.625 0.250
Y4 0.375 0.485 0.750
```

Values from the calculation:
volume	24.23	A^3/atom
space-group type	I-42d

***

The least stable of them is a.